A geometry-optimized Be2TeCl structure, computed with GGA-PBE.

For the density of states at the Fermi level, the calculation gives 0.71 states/eV per atom. Its uncorrected formation energy is 0.0274 eV/atom. For the magnetization, the calculation gives 0.00 μB/f.u.

The space group is I-42d (No. 122) and the conventional cell measures 5.1890, 5.1890 and 11.8372 Å, with angles of 90.00, 90.00 and 90.00 degrees. The inequivalent atoms are Be at (0.2268, 0.2500, 0.1250), Te at (0.0000, 0.0000, 0.5000) and Cl at (0.0000, 0.0000, 0.0000).



A geometry-optimized PdPb2Cl8 structure, computed with GGA-PBE.

Its uncorrected formation energy is -0.7124 eV/atom. For the magnetization, the calculation gives 0.00 μB/f.u.

The space group is C2/m (No. 12) and the conventional cell measures 9.6093, 12.0423 and 7.5081 Å, with angles of 90.00, 98.84 and 90.00 degrees. The inequivalent atoms are Pd at (0.0000, 0.0000, 0.0000), Pb at (0.2185, 0.5000, 0.6081), Cl at (0.0241, 0.5000, 0.2676), Cl at (0.0622, 0.0000, 0.7089) and Cl at (0.1685, 0.1390, 0.0937).



A geometry-optimized Be2TcAg structure, computed with GGA-PBE.

For the density of states at the Fermi level, the calculation gives 0.40 states/eV per atom. As for the energy of formation from the pure elements: 7.00 kcal/mol of atoms. For the magnetization, the calculation gives 0.00 μB/f.u.

The space group is I-4m2 (No. 119) and the conventional cell measures 3.3743, 3.3743 and 8.6516 Å, with angles of 90.00, 90.00 and 90.00 degrees. The inequivalent atoms are Be at (0.0000, 0.0000, 0.0000), Be at (0.0000, 0.5000, 0.2500), Tc at (0.0000, 0.5000, 0.7500) and Ag at (0.0000, 0.0000, 0.5000).



A geometry-optimized Tb5DyTl4 structure, computed with GGA-PBE.

For the density of states at the Fermi level, the calculation gives 1.09 states/eV per atom. As for the energy of formation from the pure elements: -0.48 kcal/mol of atoms. For the magnetization, the calculation gives 0.00 μB/f.u.

The space group is Pmmn (No. 59, origin choice 2) and the conventional cell measures 8.1307, 9.3434 and 8.5539 Å, with angles of 90.00, 90.00 and 90.00 degrees. The inequivalent atoms are Tb at (0.0103, 0.0552, 0.2287), Tb at (0.2500, 0.2500, 0.5820), Dy at (0.2500, 0.7500, 0.1796), Tl at (0.0773, 0.2500, 0.9378) and Tl at (0.2500, 0.5841, 0.5009).



A geometry-optimized Th4RuPtS2 structure, computed with GGA-PBE.

For the density of states at the Fermi level, the calculation gives 0.97 states/eV per atom. Its uncorrected formation energy is -1.2740 eV/atom. For the magnetization, the calculation gives 0.00 μB/f.u.

The space group is P2/m (No. 10) and the conventional cell measures 7.0713, 4.0858 and 7.4605 Å, with angles of 90.00, 108.14 and 90.00 degrees. The inequivalent atoms are Th at (0.2373, 0.0000, 0.2326), Th at (0.2442, 0.5000, 0.7641), Ru at (0.0000, 0.5000, 0.0000), Pt at (0.5000, 0.0000, 0.0000), S at (0.0000, 0.0000, 0.5000) and S at (0.5000, 0.5000, 0.5000).



A geometry-optimized Ac2TmMnS5 structure, computed with GGA-PBE.

For the density of states at the Fermi level, the calculation gives 0.36 states/eV per atom. Its uncorrected formation energy is -1.8115 eV/atom. For the magnetization, the calculation gives 4.33 μB/f.u.

The space group is Cmc2_1 (No. 36) and the conventional cell measures 4.0647, 17.2022 and 12.1723 Å, with angles of 90.00, 90.00 and 90.00 degrees. The inequivalent atoms are Ac at (0.0000, 0.1146, 0.0000), Ac at (0.0000, 0.1295, 0.6252), Tm at (0.0000, 0.1972, 0.3229), Mn at (0.0000, 0.4448, 0.7604), S at (0.0000, 0.0450, 0.3632), S at (0.0000, 0.2913, 0.9749), S at (0.0000, 0.3120, 0.6732), S at (0.0000, 0.3544, 0.3146) and S at (0.0000, 0.4968, 0.0863).



A geometry-optimized CdP2Ru structure, computed with GGA-PBE.

For the density of states at the Fermi level, the calculation gives 0.06 states/eV per atom. As for the energy of formation from the pure elements: -2.96 kcal/mol of atoms. For the magnetization, the calculation gives 0.00 μB/f.u.

The space group is Cm (No. 8) and the conventional cell measures 8.2159, 2.9843 and 6.3116 Å, with angles of 90.00, 104.68 and 90.00 degrees. The inequivalent atoms are Cd at (0.0000, 0.0000, 0.0000), P at (0.2049, 0.0000, 0.7029), P at (0.3206, 0.0000, 0.4194) and Ru at (0.0996, 0.5000, 0.3973).



A geometry-optimized DyUFe2 structure, computed with GGA-PBE.

For the density of states at the Fermi level, the calculation gives 1.03 states/eV per atom. As for the energy of formation from the pure elements: 1.26 kcal/mol of atoms. For the magnetization, the calculation gives 0.00 μB/f.u.

The space group is Cm (No. 8) and the conventional cell measures 7.0877, 4.0924 and 5.7129 Å, with angles of 90.00, 90.25 and 90.00 degrees. The inequivalent atoms are Dy at (0.0000, 0.0000, 0.0000), U at (0.3344, 0.0000, 0.4651), Fe at (0.0014, 0.0000, 0.5044) and Fe at (0.1675, 0.5000, 0.3309).